No. 1
The following is a DFT calculation (PBE) of a relaxed structure of ZrInCoRh.

```
data_ZrInCoRh
_space_group_name_H-M_alt 'P 1'
_space_group_IT_number 1
_space_group_name_Hall 'P 1'
_cell_length_a 4.542
_cell_length_b 4.542
_cell_length_c 4.542
_cell_angle_alpha 60.00
_cell_angle_beta 60.00
_cell_angle_gamma 60.00
loop_
_atom_site_label
_atom_site_type_symbol
_atom_site_fract_x
_atom_site_fract_y
_atom_site_fract_z
Zr1 Zr 0.250 0.250 0.250
Co1 Co 0.000 0.000 0.000
In1 In 0.750 0.750 0.750
Rh1 Rh 0.500 0.500 0.500
```

Values from the calculation:
DFT formation energy (eV per atom): -0.478
Calculated volume (Å³ per atom): 16.57
E_tot (eV/cell): -27.65

No. 2
The following is a DFT calculation (PBE) of a relaxed structure of Li5Re2N5.

```
data_Li5Re2N5
_space_group_name_H-M_alt 'P 1'
_space_group_IT_number 1
_space_group_name_Hall 'P 1'
_cell_length_a 2.885
_cell_length_b 5.347
_cell_length_c 8.787
_cell_angle_alpha 108.43
_cell_angle_beta 90.00
_cell_angle_gamma 105.65
loop_
_atom_site_label
_atom_site_type_symbol
_atom_site_fract_x
_atom_site_fract_y
_atom_site_fract_z
Li1 Li 0.752 0.504 0.373
Li2 Li 0.500 0.000 0.500
Li3 Li 0.327 0.655 0.924
Li4 Li 0.248 0.496 0.627
Li5 Li 0.673 0.345 0.076
N1 N 0.669 0.338 0.795
N2 N 0.104 0.208 0.398
N3 N 0.896 0.792 0.602
N4 N 0.331 0.662 0.205
N5 N 0.000 0.000 0.000
Re1 Re 0.029 0.057 0.795
Re2 Re 0.971 0.943 0.205
```

Values from the calculation:
Calculated volume (Å³ per atom): 10.27
Raw formation energy (kcal/mol of atoms): -9.3
E_tot (eV/cell): -80.91